Entry from OQMD via LeMat-Bulk: crystalline CuH8C10I2Br2N2 at its relaxed geometry (GGA-PBE).

Unit cell a=4.1387 b=8.5862 c=10.2222 alpha=89.01 beta=84.72 gamma=80.26
Space group P-1 (No. 2)
Asymmetric unit:
Cu: 0.0000 0.0000 0.0000 x1
H: 0.0964 0.5466 0.8249 x2
H: 0.1075 0.4920 0.3918 x2
H: 0.1368 0.3213 0.9879 x2
H: 0.1875 0.9717 0.2713 x2
C: 0.0264 0.4340 0.8011 x2
C: 0.0487 0.3108 0.8916 x2
C: 0.0833 0.5886 0.3208 x2
C: 0.1300 0.8549 0.2544 x2
C: 0.1592 0.7358 0.3491 x2
I: 0.2972 0.7815 0.5362 x2
Br: 0.4353 0.8322 0.8547 x2
N: 0.0307 0.8302 0.1357 x2

DFT total energy (eV/atom): -5.8259
ρ (kg/m3): 2950


Entry from OQMD via LeMat-Bulk: crystalline CuH6C10I2Br4N2 at its relaxed geometry (GGA-PBE).

Unit cell a=6.4281 b=8.5707 c=16.3310 alpha=90.00 beta=105.44 gamma=90.00
Space group P2_1/c (No. 14)
Asymmetric unit:
Cu: 0.0000 0.0000 0.0000 x2
H: 0.1615 0.0907 0.6830 x4
H: 0.1969 0.5379 0.9166 x4
H: 0.3745 0.6424 0.6135 x4
C: 0.0683 0.0485 0.4074 x4
C: 0.1015 0.1907 0.4502 x4
C: 0.1334 0.5191 0.1480 x4
C: 0.2524 0.7321 0.6100 x4
C: 0.2958 0.6311 0.1572 x4
I: 0.3956 0.1025 0.2594 x4
Br: 0.1125 0.6048 0.3764 x4
Br: 0.3753 0.2456 0.5218 x4
N: 0.0552 0.7029 0.5579 x4

DFT total energy (eV/atom): -5.6484
ρ (kg/m3): 3030


Entry from OQMD via LeMat-Bulk: crystalline Cu3H12C6Br2N3 at its relaxed geometry (GGA-PBE).

Unit cell a=8.3400 b=12.5435 c=13.0215 alpha=90.00 beta=111.54 gamma=90.00
Space group P2_1/c (No. 14)
Asymmetric unit:
Cu: 0.0890 0.0243 0.1683 x4
Cu: 0.0957 0.6402 0.1635 x4
Cu: 0.1059 0.0994 0.5978 x4
H: 0.2419 0.6838 0.5070 x4
H: 0.2452 0.2319 0.9691 x4
H: 0.2993 0.1187 0.9034 x4
H: 0.3141 0.6649 0.9139 x4
H: 0.3358 0.5957 0.4355 x4
H: 0.3694 0.1249 0.0521 x4
H: 0.3765 0.1488 0.3748 x4
H: 0.4053 0.6720 0.1150 x4
H: 0.4089 0.5927 0.5846 x4
H: 0.4104 0.7461 0.3452 x4
H: 0.4255 0.2373 0.8079 x4
H: 0.4655 0.1450 0.5735 x4
C: 0.0928 0.2421 0.6271 x4
C: 0.0951 0.7132 0.6674 x4
C: 0.3424 0.1708 0.9760 x4
C: 0.3600 0.6431 0.5106 x4
C: 0.4339 0.7044 0.9186 x4
C: 0.4734 0.2098 0.3800 x4
Br: 0.1543 0.0254 0.4295 x4
Br: 0.3284 0.5137 0.2414 x4
N: 0.0897 0.1661 0.1468 x4
N: 0.0933 0.6194 0.6701 x4
N: 0.4944 0.7251 0.5182 x4

DFT total energy (eV/atom): -5.3012
ρ (kg/m3): 2499


Entry from OQMD via LeMat-Bulk: crystalline CuH18C11Br2N2 at its relaxed geometry (GGA-PBE).

Unit cell a=8.1065 b=8.9208 c=10.0582 alpha=81.11 beta=76.72 gamma=88.99
Space group P-1 (No. 2)
Asymmetric unit:
Cu: 0.0620 0.3003 0.4925 x2
H: 0.0299 0.8756 0.2196 x2
H: 0.0703 0.8338 0.7510 x2
H: 0.1342 0.2406 0.8009 x2
H: 0.1593 0.6131 0.8950 x2
H: 0.1643 0.0515 0.5792 x2
H: 0.2205 0.3735 0.1732 x2
H: 0.2517 0.1767 0.2283 x2
H: 0.2898 0.1346 0.9627 x2
H: 0.2917 0.5624 0.3018 x2
H: 0.3136 0.6504 0.0767 x2
H: 0.3764 0.3017 0.6150 x2
H: 0.3790 0.5064 0.4467 x2
H: 0.3799 0.9117 0.1087 x2
H: 0.4024 0.1046 0.3863 x2
H: 0.4316 0.2990 0.1486 x2
H: 0.4395 0.1100 0.6242 x2
H: 0.4461 0.7524 0.6151 x2
H: 0.4938 0.5061 0.7230 x2
C: 0.1081 0.1346 0.7657 x2
C: 0.1380 0.8521 0.8295 x2
C: 0.1730 0.0000 0.8478 x2
C: 0.1890 0.7270 0.9108 x2
C: 0.2627 0.0198 0.9474 x2
C: 0.2764 0.7481 0.0113 x2
C: 0.3038 0.2920 0.2175 x2
C: 0.3137 0.8947 0.0293 x2
C: 0.3622 0.1951 0.5759 x2
C: 0.3767 0.4812 0.3439 x2
C: 0.4189 0.2138 0.4201 x2
Br: 0.0637 0.5169 0.6597 x2
Br: 0.1991 0.8548 0.4259 x2
N: 0.1810 0.1520 0.6151 x2
N: 0.3114 0.3257 0.3550 x2

DFT total energy (eV/atom): -5.5895
ρ (kg/m3): 1907


Entry from OQMD via LeMat-Bulk: crystalline CuH2CBrN2 at its relaxed geometry (GGA-PBE).

Unit cell a=8.4218 b=3.8096 c=12.5120 alpha=90.00 beta=90.00 gamma=90.00
Space group Pnma (No. 62)
Asymmetric unit:
Cu: 0.1083 0.2500 0.0538 x4
H: 0.1417 0.2500 0.2808 x4
H: 0.1979 0.2500 0.4159 x4
C: 0.0390 0.7500 0.6128 x4
Br: 0.0385 0.2500 0.8608 x4
N: 0.1103 0.2500 0.3596 x4
N: 0.1735 0.7500 0.5874 x4

DFT total energy (eV/atom): -5.5087
ρ (kg/m3): 3069


Entry from OQMD via LeMat-Bulk: crystalline CuH6C10Br6N2 at its relaxed geometry (GGA-PBE).

Unit cell a=6.3208 b=8.0792 c=8.5694 alpha=105.37 beta=93.52 gamma=103.69
Space group P-1 (No. 2)
Asymmetric unit:
Cu: 0.0000 0.0000 0.0000 x1
H: 0.1781 0.3762 0.5081 x2
H: 0.1926 0.8228 0.5009 x2
H: 0.3886 0.2438 0.9396 x2
C: 0.0613 0.8035 0.4040 x2
C: 0.0962 0.8888 0.2831 x2
C: 0.1459 0.3076 0.6014 x2
C: 0.2644 0.2349 0.8415 x2
C: 0.3098 0.3268 0.7265 x2
Br: 0.1275 0.7513 0.8305 x2
Br: 0.3741 0.0383 0.2760 x2
Br: 0.4034 0.5248 0.2554 x2
N: 0.0625 0.1295 0.8360 x2

DFT total energy (eV/atom): -5.6870
ρ (kg/m3): 2849


Entry from OQMD via LeMat-Bulk: crystalline CuHCBrN2 at its relaxed geometry (GGA-PBE).

Unit cell a=11.7389 b=6.2813 c=9.5164 alpha=90.00 beta=90.00 gamma=90.00
Space group Cmcm (No. 63)
Asymmetric unit:
Cu: 0.1362 0.2377 0.2500 x8
H: 0.2030 0.5000 0.0000 x8
C: 0.1102 0.5000 0.0000 x8
Br: 0.1612 0.1406 0.7500 x8
N: 0.0578 0.3674 0.0888 x16

DFT total energy (eV/atom): -5.6938
ρ (kg/m3): 3493


Entry from OQMD via LeMat-Bulk: crystalline CuH12C6Br6N4 at its relaxed geometry (GGA-PBE).

Unit cell a=7.4410 b=8.1209 c=14.1527 alpha=98.32 beta=100.67 gamma=102.31
Space group P-1 (No. 2)
Asymmetric unit:
Cu: 0.2138 0.2097 0.2508 x2
H: 0.0194 0.8742 0.3657 x2
H: 0.1155 0.6875 0.8826 x2
H: 0.1365 0.9130 0.0421 x2
H: 0.1582 0.4072 0.4364 x2
H: 0.2668 0.7963 0.1777 x2
H: 0.2779 0.3714 0.7171 x2
H: 0.3509 0.9436 0.0008 x2
H: 0.3530 0.1863 0.6698 x2
H: 0.3768 0.5228 0.1196 x2
H: 0.4213 0.5091 0.6033 x2
H: 0.4320 0.3089 0.5338 x2
H: 0.4911 0.8643 0.1490 x2
C: 0.0255 0.2567 0.5223 x2
C: 0.2354 0.5655 0.9882 x2
C: 0.2502 0.8529 0.0280 x2
C: 0.2739 0.2807 0.6505 x2
C: 0.3439 0.3755 0.5720 x2
C: 0.3443 0.7908 0.1188 x2
Br: 0.1026 0.9689 0.7991 x2
Br: 0.1344 0.4832 0.2811 x2
Br: 0.1816 0.3424 0.9147 x2
Br: 0.2206 0.8066 0.5534 x2
Br: 0.3399 0.0360 0.3559 x2
Br: 0.4763 0.2939 0.1796 x2
N: 0.0764 0.1952 0.6019 x2
N: 0.1663 0.3665 0.5027 x2
N: 0.1751 0.6926 0.9548 x2
N: 0.3351 0.6104 0.0793 x2

DFT total energy (eV/atom): -5.1020
ρ (kg/m3): 2815